No. 1
This record from Alexandria via LeMat-Bulk describes an optimized crystal structure of Nd8AgSn2. The functional is PBE.

Geometry as POSCAR:
```
Nd8AgSn2
1.0
9.9375 -2.6082 0.0000
9.9375 2.6082 0.0000
-1.8337 0.0000 6.7501
Nd Ag Sn
8 1 2
direct
0.0169 0.0169 0.2748
0.2137 0.2137 0.8181
0.3457 0.3457 0.5050
0.4067 0.4067 0.0219
0.5933 0.5933 0.9781
0.6543 0.6543 0.4950
0.7863 0.7863 0.1819
0.9831 0.9831 0.7252
0.5000 0.5000 0.5000
0.1806 0.1806 0.2518
0.8194 0.8194 0.7482
```

Results
Magnetic moment in μB/atom: 0.00
E_tot in Ry/atom: -0.350
D(E_F) in states/eV per atom: 0.98
Symmetry: C2/m (12)

No. 2
This record from Alexandria via LeMat-Bulk describes an optimized crystal structure of Dy2ZnIn3. The functional is PBE.

Geometry as POSCAR:
```
Dy2ZnIn3
1.0
3.6091 0.0000 0.0000
0.0000 4.7872 0.0000
0.0000 0.0000 8.3816
Dy Zn In
2 1 3
direct
0.0000 0.0000 0.0000
0.0000 0.5000 0.4872
0.5000 0.0000 0.3218
0.5000 0.0000 0.6436
0.5000 0.5000 0.1717
0.5000 0.5000 0.8288
```

Results
Distance to the lowest polymorph of the same formula in meV/atom: 3.8
Magnetic moment in μB/atom: 0.00
D(E_F) in states/eV per atom: 0.55
Symmetry: Pmm2 (25)

No. 3
This record from Alexandria via LeMat-Bulk describes an optimized crystal structure of Ba2PdPt. The functional is PBE.

Geometry as POSCAR:
```
Ba2PdPt
1.0
-3.9370 5.6759 5.7278
3.9370 -5.6759 5.7278
3.9370 5.6759 -5.7278
Ba Pd Pt
2 1 1
direct
0.2486 0.0000 0.2486
0.7514 0.0000 0.7514
0.5000 0.0000 0.5000
0.0000 0.0000 0.0000
```

Results
Magnetic moment in μB/atom: 0.00
E_tot in Ry/atom: -0.229
Symmetry: Immm (71)

No. 4
This record from Alexandria via LeMat-Bulk describes an optimized crystal structure of TmZrSc. The functional is PBE.

Geometry as POSCAR:
```
TmZrSc
1.0
5.2701 0.0000 0.0000
0.0000 3.2647 0.0000
-0.5035 0.0000 8.9617
Tm Zr Sc
2 2 2
direct
0.2424 0.2500 0.4288
0.7576 0.7500 0.5712
0.1992 0.7500 0.1013
0.8008 0.2500 0.8987
0.2792 0.7500 0.7716
0.7208 0.2500 0.2284
```

Results
Distance to the lowest polymorph of the same formula in meV/atom: 38.5
Magnetic moment in μB/atom: 0.00
D(E_F) in states/eV per atom: 1.59
Symmetry: P2_1/m (11)